1.
First-principles (PBE) data for Tm4Cd3Fe after structural relaxation, as listed in the Alexandria database.

Properties
Space group: No. 123
Formation enthalpy at 0 K in eV/atom: -0.220
Crystal system: tetragonal

abc: 3.3824 3.3824 16.1944
angles: 90.00 90.00 90.00
Element x y z (fractional)
Tm 0.0000 0.0000 0.0970
Tm 0.0000 0.0000 0.3652
Tm 0.0000 0.0000 0.6348
Tm 0.0000 0.0000 0.9030
Cd 0.5000 0.5000 0.2343
Cd 0.5000 0.5000 0.5000
Cd 0.5000 0.5000 0.7657
Fe 0.5000 0.5000 0.0000

2.
First-principles (PBE) data for Nd2GeCl after structural relaxation, as listed in the Alexandria database.

Properties
Space group: No. 141
Energy relative to the lowest polymorph listed for this composition in eV/f.u.: 0.00
Crystal system: tetragonal

abc: 5.9337 5.9337 12.1326
angles: 90.00 90.00 90.00
Element x y z (fractional)
Nd 0.0000 0.2500 0.1167
Nd 0.0000 0.2500 0.6333
Nd 0.0000 0.7500 0.3667
Nd 0.0000 0.7500 0.8833
Nd 0.5000 0.2500 0.3833
Nd 0.5000 0.2500 0.8667
Nd 0.5000 0.7500 0.1333
Nd 0.5000 0.7500 0.6167
Ge 0.0000 0.2500 0.8750
Ge 0.0000 0.7500 0.1250
Ge 0.5000 0.2500 0.6250
Ge 0.5000 0.7500 0.3750
Cl 0.0000 0.2500 0.3750
Cl 0.0000 0.7500 0.6250
Cl 0.5000 0.2500 0.1250
Cl 0.5000 0.7500 0.8750